(1)
This record from the Alexandria database describes crystalline K2InP at its relaxed geometry. The functional is GGA-PBEsol.

```
K2InP
1.0
3.6934 -2.1302 0.0000
3.6934 2.1302 0.0000
-2.2299 0.0000 9.4611
K In P
2 1 1
Direct
0.0000 0.0000 0.0000
0.1711 0.1711 0.5655
0.7435 0.7435 0.2524
0.4421 0.4421 0.3581
```

Computed properties:
energy of formation from the pure elements: -184 meV per atom
distance to the lowest polymorph of the same formula: 0.064 eV/atom
DOS at the Fermi energy: 0.55 states/eV/atom
crystal system: monoclinic

(2)
This record from the Alexandria database describes crystalline Tc5C at its relaxed geometry. The functional is GGA-PBEsol.

```
Tc5C
1.0
4.0858 0.0000 0.0000
0.0000 2.0406 4.9286
0.0000 -2.0406 4.9286
Tc C
5 1
Direct
0.0000 0.9997 0.9997
0.0000 0.3066 0.3066
0.0000 0.6387 0.6387
0.5000 0.5000 0.5000
0.5000 0.8225 0.8225
0.5000 0.2928 0.2928
```

Computed properties:
energy of formation from the pure elements: 396 meV per atom
DOS at the Fermi energy: 0.68 states/eV/atom
crystal system: orthorhombic

(3)
This record from the Alexandria database describes crystalline NbAlCu3 at its relaxed geometry. The functional is GGA-PBEsol.

```
NbAlCu3
1.0
4.6869 0.0000 0.0000
0.0000 4.6869 0.0000
0.0000 0.0000 4.6869
Nb Al Cu
1 1 3
Direct
0.0000 0.0000 0.0000
0.5000 0.5000 0.5000
0.0000 0.0000 0.5000
0.0000 0.5000 0.0000
0.5000 0.0000 0.0000
```

Computed properties:
energy of formation from the pure elements: 1564 meV per atom
DOS at the Fermi energy: 0.88 states/eV/atom
crystal system: cubic

(4)
This record from the Alexandria database describes crystalline Ho2Hf2O7 at its relaxed geometry. The functional is GGA-PBEsol.

```
Ho2Hf2O7
1.0
0.0000 5.1750 5.1750
5.1750 0.0000 5.1750
5.1750 5.1750 0.0000
Ho Hf O
4 4 14
Direct
0.0000 0.0000 0.0000
0.0000 0.0000 0.5000
0.0000 0.5000 0.0000
0.5000 0.0000 0.0000
0.0000 0.5000 0.5000
0.5000 0.0000 0.5000
0.5000 0.5000 0.0000
0.5000 0.5000 0.5000
0.1250 0.1250 0.1250
0.1599 0.1599 0.5901
0.1599 0.5901 0.1599
0.1599 0.5901 0.5901
0.4099 0.4099 0.8401
0.4099 0.8401 0.4099
0.4099 0.8401 0.8401
0.5901 0.1599 0.1599
0.5901 0.1599 0.5901
0.5901 0.5901 0.1599
0.8401 0.4099 0.4099
0.8401 0.4099 0.8401
0.8401 0.8401 0.4099
0.8750 0.8750 0.8750
```

Computed properties:
E_form (uncorrected): -348.87 kJ/mol of atoms
DOS at the Fermi energy: 0.00 states/eV/atom
crystal system: cubic

(5)
This record from the Alexandria database describes crystalline Cr5Mo11 at its relaxed geometry. The functional is GGA-PBEsol.

```
Cr5Mo11
1.0
6.0807 0.0000 0.0000
0.0000 6.0854 0.0000
-0.0195 0.0000 6.0914
Cr Mo
5 11
Direct
0.0000 0.0000 0.0000
0.0001 0.0000 0.4888
0.5062 0.5000 0.4915
0.7553 0.2468 0.2452
0.7553 0.7532 0.2452
0.2498 0.2474 0.2460
0.2498 0.7526 0.2460
0.2512 0.2476 0.7416
0.2512 0.7524 0.7416
0.5082 0.5000 0.0014
0.5099 0.0000 0.4891
0.5102 0.0000 0.9986
0.7557 0.2478 0.7407
0.7557 0.7522 0.7407
0.9966 0.5000 0.4890
0.9990 0.5000 0.9981
```

Computed properties:
energy of formation from the pure elements: 88 meV per atom
DOS at the Fermi energy: 0.73 states/eV/atom
crystal system: monoclinic

(6)
This record from the Alexandria database describes crystalline TiMoO4 at its relaxed geometry. The functional is GGA-PBEsol.

```
TiMoO4
1.0
3.2918 -3.3940 0.0000
3.2918 3.3940 0.0000
0.0000 0.0000 2.8649
Ti Mo O
1 1 4
Direct
0.0000 0.0000 0.0000
0.5000 0.5000 0.5000
0.2012 0.2012 0.5000
0.2926 0.7074 0.0000
0.7074 0.2926 0.0000
0.7988 0.7988 0.5000
```

Computed properties:
E_form (uncorrected): -234.39 kJ/mol of atoms
DOS at the Fermi energy: 0.64 states/eV/atom
crystal system: orthorhombic

(7)
This record from the Alexandria database describes crystalline SrTaTe at its relaxed geometry. The functional is GGA-PBEsol.

```
SrTaTe
1.0
0.0000 3.4579 3.4579
3.4579 0.0000 3.4579
3.4579 3.4579 0.0000
Sr Ta Te
1 1 1
Direct
0.0000 0.0000 0.0000
0.5000 0.5000 0.5000
0.2500 0.2500 0.2500
```

Computed properties:
E_form (uncorrected): 59.61 kJ/mol of atoms
distance to the lowest polymorph of the same formula: 0.482 eV/atom
DOS at the Fermi energy: 1.20 states/eV/atom
crystal system: cubic

(8)
This record from the Alexandria database describes crystalline ScTaBe2 at its relaxed geometry. The functional is GGA-PBEsol.

```
ScTaBe2
1.0
0.0000 3.0813 3.0813
3.0813 0.0000 3.0813
3.0813 3.0813 0.0000
Sc Ta Be
1 1 2
Direct
0.0000 0.0000 0.0000
0.2500 0.2500 0.2500
0.5000 0.5000 0.5000
0.7500 0.7500 0.7500
```

Computed properties:
energy of formation from the pure elements: 683 meV per atom
DOS at the Fermi energy: 1.34 states/eV/atom
crystal system: cubic

(9)
This record from the Alexandria database describes crystalline GeTeP2 at its relaxed geometry. The functional is GGA-PBEsol.

```
GeTeP2
1.0
0.0000 3.3160 3.3160
3.3160 0.0000 3.3160
3.3160 3.3160 0.0000
Ge Te P
1 1 2
Direct
0.0000 0.0000 0.0000
0.5000 0.5000 0.5000
0.2500 0.2500 0.2500
0.7500 0.7500 0.7500
```

Computed properties:
E_form (uncorrected): 50.32 kJ/mol of atoms
DOS at the Fermi energy: 0.47 states/eV/atom
crystal system: cubic

(10)
This record from the Alexandria database describes crystalline V4N3 at its relaxed geometry. The functional is GGA-PBEsol.

```
V4N3
1.0
-2.0188 2.0188 3.9749
2.0188 -2.0188 3.9749
2.0188 2.0188 -3.9749
V N
4 3
Direct
0.0000 0.5000 0.5000
0.2479 0.2479 0.0000
0.5000 0.0000 0.5000
0.7521 0.7521 0.0000
0.0000 0.0000 0.0000
0.2500 0.7500 0.5000
0.7500 0.2500 0.5000
```

Computed properties:
E_form (uncorrected): -115.19 kJ/mol of atoms
DOS at the Fermi energy: 0.68 states/eV/atom
crystal system: tetragonal

(11)
This record from the Alexandria database describes crystalline Ag4Bi2O5 at its relaxed geometry. The functional is GGA-PBEsol.

```
Ag4Bi2O5
1.0
14.3408 0.0000 0.0000
0.0000 5.7591 0.0000
0.0000 0.0000 8.4695
Ag Bi O
16 8 20
Direct
0.0827 0.0104 0.1370
0.0827 0.4896 0.3630
0.2483 0.7500 0.2500
0.2500 0.0000 0.9318
0.2500 0.5000 0.5682
0.2517 0.2500 0.2500
0.4173 0.5104 0.3630
0.4173 0.9896 0.1370
0.5827 0.0104 0.8630
0.5827 0.4896 0.6370
0.7483 0.7500 0.7500
0.7500 0.0000 0.0682
0.7500 0.5000 0.4318
0.7517 0.2500 0.7500
0.9173 0.5104 0.6370
0.9173 0.9896 0.8630
0.1109 0.5022 0.9074
0.1109 0.9978 0.5926
0.3891 0.0022 0.5926
0.3891 0.4978 0.9074
0.6109 0.5022 0.0926
0.6109 0.9978 0.4074
0.8891 0.0022 0.4074
0.8891 0.4978 0.0926
0.0438 0.5515 0.1316
0.0438 0.9485 0.3684
0.1159 0.1296 0.9072
0.1159 0.3704 0.5928
0.2500 0.0000 0.4407
0.2500 0.5000 0.0593
0.3841 0.6296 0.5928
0.3841 0.8704 0.9072
0.4562 0.0515 0.3684
0.4562 0.4485 0.1316
0.5438 0.5515 0.8684
0.5438 0.9485 0.6316
0.6159 0.1296 0.0928
0.6159 0.3704 0.4072
0.7500 0.0000 0.5593
0.7500 0.5000 0.9407
0.8841 0.6296 0.4072
0.8841 0.8704 0.0928
0.9562 0.0515 0.6316
0.9562 0.4485 0.8684
```

Computed properties:
E_form (uncorrected): -56.03 kJ/mol of atoms
DOS at the Fermi energy: 0.00 states/eV/atom
crystal system: orthorhombic

(12)
This record from the Alexandria database describes crystalline TlInSi at its relaxed geometry. The functional is GGA-PBEsol.

```
TlInSi
1.0
0.0000 3.3929 3.3929
3.3929 0.0000 3.3929
3.3929 3.3929 0.0000
Tl In Si
1 1 1
Direct
0.0000 0.0000 0.0000
0.2500 0.2500 0.2500
0.5000 0.5000 0.5000
```

Computed properties:
E_form (uncorrected): 41.84 kJ/mol of atoms
DOS at the Fermi energy: 0.13 states/eV/atom
crystal system: cubic

| no. | mass density (g cm⁻³) |
| --- | --- |
| 1 | 2.50 |
| 2 | 10.14 |
| 3 | 5.01 |
| 4 | 9.57 |
| 5 | 9.69 |
| 6 | 5.39 |
| 7 | 7.96 |
| 8 | 6.92 |
| 9 | 5.97 |
| 10 | 6.30 |
| 11 | 8.83 |
| 12 | 7.38 |